# 1
SrMgInBi2: optimized geometry, GGA-PBE. Values from VASP.

Structure (Quantum ESPRESSO input):
```
&SYSTEM
  ibrav = 0, nat = 10, ntyp = 4
/
ATOMIC_SPECIES
Bi 208.98 Bi.upf
Mg 24.30 Mg.upf
Sr 87.62 Sr.upf
In 114.82 In.upf
CELL_PARAMETERS angstrom
6.6977 0.0000 0.0000
0.0000 6.3228 0.0000
0.0000 -3.1614 7.8689
ATOMIC_POSITIONS crystal
Bi 0.2913 0.1434 0.2869
Bi 0.2913 0.3566 0.7131
Mg 0.5000 0.7500 0.0000
Sr 0.7783 0.2500 0.5000
In 0.0000 0.5000 0.0000
Bi 0.7087 0.8566 0.7131
In 0.0000 0.0000 0.0000
Sr 0.2217 0.7500 0.5000
Mg 0.5000 0.2500 0.0000
Bi 0.7087 0.6434 0.2869
```

Calculated values
size of the total moment	0.0	μB/f.u.
DFT formation energy	-1.4	eV/f.u.
DOS at the Fermi energy	4.95	states/eV/cell
uncorrected energy	-15.17	eV/f.u.
space-group type	Cmme, No. 67

# 2
PbAu: optimized geometry, GGA-PBE. Values from VASP.

Structure (Quantum ESPRESSO input):
```
&SYSTEM
  ibrav = 0, nat = 12, ntyp = 2
/
ATOMIC_SPECIES
Au 196.97 Au.upf
Pb 207.20 Pb.upf
CELL_PARAMETERS angstrom
7.9940 0.0000 0.0000
0.0000 7.9940 0.0000
0.0000 0.0000 7.9940
ATOMIC_POSITIONS crystal
Au 0.7500 0.0000 0.5000
Au 0.0000 0.5000 0.7500
Au 0.5000 0.2500 0.0000
Pb 0.5000 0.0000 0.2500
Au 0.5000 0.7500 0.0000
Au 0.0000 0.5000 0.2500
Pb 0.5000 0.0000 0.7500
Pb 0.7500 0.5000 0.0000
Pb 0.2500 0.5000 0.0000
Pb 0.0000 0.7500 0.5000
Au 0.2500 0.0000 0.5000
Pb 0.0000 0.2500 0.5000
```

Calculated values
size of the total moment	0.0	μB/f.u.
DFT formation energy	0.5	eV/f.u.
DOS at the Fermi energy	8.66	states/eV/cell
uncorrected energy	-6.45	eV/f.u.
space-group type	Pm-3n, No. 223

# 3
ZrFe3Si: optimized geometry, GGA-PBE. Values from VASP.

Structure (Quantum ESPRESSO input):
```
&SYSTEM
  ibrav = 0, nat = 5, ntyp = 3
/
ATOMIC_SPECIES
Fe 55.84 Fe.upf
Zr 91.22 Zr.upf
Si 28.09 Si.upf
CELL_PARAMETERS angstrom
4.1705 0.0000 0.0000
0.0000 4.1705 0.0000
0.0000 0.0000 4.1705
ATOMIC_POSITIONS crystal
Fe 0.0000 0.5000 0.0000
Fe 0.0000 0.0000 0.5000
Zr 0.5000 0.5000 0.5000
Fe 0.5000 0.0000 0.0000
Si 0.0000 0.0000 0.0000
```

Calculated values
size of the total moment	2.0	μB/f.u.
DOS at the Fermi energy	3.29	states/eV/cell
uncorrected energy	-38.26	eV/f.u.
E_form (uncorrected)	0.219	eV per atom
space-group type	Pm-3m, No. 221
distance to the lowest polymorph of the same formula	0.0	meV/atom

# 4
Sr3CdW: optimized geometry, GGA-PBE. Values from VASP.

Structure (Quantum ESPRESSO input):
```
&SYSTEM
  ibrav = 0, nat = 5, ntyp = 3
/
ATOMIC_SPECIES
W 183.84 W.upf
Sr 87.62 Sr.upf
Cd 112.41 Cd.upf
CELL_PARAMETERS angstrom
-5.1653 -2.7551 0.2406
1.5378 -3.2850 -4.6014
2.2986 -3.9934 3.6191
ATOMIC_POSITIONS crystal
W 0.0000 0.0000 0.0000
Sr 0.5000 0.0000 0.0000
Cd 0.5000 0.5000 0.5000
Sr 0.0000 0.0000 0.5000
Sr 0.0000 0.5000 0.0000
```

Calculated values
size of the total moment	0.0	μB/f.u.
DFT formation energy	4.6	eV/f.u.
DOS at the Fermi energy	3.19	states/eV/cell
uncorrected energy	-14.33	eV/f.u.
space-group type	Pm-3m, No. 221
distance to the lowest polymorph of the same formula	0.0	meV/atom

# 5
MnCr: optimized geometry, GGA-PBE. Values from VASP.

Structure (Quantum ESPRESSO input):
```
&SYSTEM
  ibrav = 0, nat = 2, ntyp = 2
/
ATOMIC_SPECIES
Cr 52.00 Cr.upf
Mn 54.94 Mn.upf
CELL_PARAMETERS angstrom
2.4621 0.0000 0.0000
-0.8371 2.3154 0.0000
0.0000 0.0000 3.9721
ATOMIC_POSITIONS crystal
Cr 0.0000 0.0000 0.0000
Mn 0.5000 0.5000 0.5000
```

Calculated values
size of the total moment	0.9	μB/f.u.
DFT formation energy	0.1	eV/f.u.
DOS at the Fermi energy	2.96	states/eV/cell
uncorrected energy	-18.66	eV/f.u.
space-group type	Cmmm, No. 65

# 6
AlPb4: optimized geometry, GGA-PBE. Values from VASP.

Structure (Quantum ESPRESSO input):
```
&SYSTEM
  ibrav = 0, nat = 5, ntyp = 2
/
ATOMIC_SPECIES
Al 26.98 Al.upf
Pb 207.20 Pb.upf
CELL_PARAMETERS angstrom
-0.1496 5.3097 -1.3198
-4.3965 -0.9025 -3.1327
-3.2567 0.9745 4.2897
ATOMIC_POSITIONS crystal
Al 0.5000 0.5000 0.5000
Pb 0.5000 0.5000 0.0000
Pb 0.5000 0.0000 0.5000
Pb 0.0000 0.0000 0.0000
Pb 0.0000 0.5000 0.5000
```

Calculated values
size of the total moment	0.0	μB/f.u.
DFT formation energy	1.8	eV/f.u.
DOS at the Fermi energy	4.40	states/eV/cell
uncorrected energy	-16.80	eV/f.u.
space-group type	Pm-3m, No. 221